Compound: SrSc2Co
Source: Alexandria
Functional: PBE
Structure: relaxed

Values from the calculation:
DFT total energy: -41.7 eV per cell
Calculated formation energy: 0.62 eV/f.u.
Crystal system: orthorhombic

a b c (Å): 3.2425 4.3045 15.0333
angles (deg): 90.00 90.00 90.00
Last column: nearest neighbours and their distance in Å.
Space group Imm2 (No. 44)
Asymmetric unit:
Sr: 0.0000 0.0000 0.0000 x2  2 Sr 3.24, 2 Co 3.27, 2 Sc 3.44
Sc: 0.0000 0.0000 0.6809 x2  2 Co 2.54
Sc: 0.0000 0.5000 0.8212 x2  4 Co 2.70, 2 Sc 3.01
Co: 0.0000 0.5000 0.3113 x2  6 Sc 2.54-2.70

=====

Compound: Sr2ScCo
Source: Alexandria
Functional: PBE
Structure: relaxed

Values from the calculation:
DFT total energy: -55.5 eV per cell
Calculated formation energy: 2.92 eV/f.u.
Crystal system: cubic

a b c (Å): 7.7046 7.7046 7.7046
angles (deg): 90.00 90.00 90.00
Last column: nearest neighbours and their distance in Å.
Space group Fm-3m (No. 225)
Asymmetric unit:
Sr: 0.2500 0.2500 0.2500 x8  4 Co 3.34, 4 Sc 3.34
Sc: 0.0000 0.0000 0.0000 x4  8 Sr 3.34
Co: 0.0000 0.0000 0.5000 x4  8 Sr 3.34